# 1
Computed, not measured: a relaxed structure of HoZrIrRh at the PBE level of DFT.

a b c (Å): 4.7449 4.7449 4.7449
angles (deg): 60.00 60.00 60.00
Last column: nearest neighbours and their distance in Å.
Fractional positions:
Ir 0.0000 0.0000 0.0000  4 Ho 2.91, 4 Zr 2.91
Rh 0.5000 0.5000 0.5000  4 Zr 2.91, 4 Ho 2.91
Ho 0.2500 0.2500 0.2500  4 Rh 2.91, 4 Ir 2.91
Zr 0.7500 0.7500 0.7500  4 Ir 2.91, 4 Rh 2.91

Values from the calculation:
DOS at the Fermi energy ... 0.6280 states/eV per atom
Energy relative to the lowest polymorph listed for this composition ... 18 meV per atom
Energy of formation from the pure elements ... -80 kJ per mole of atoms

=====

# 2
Computed, not measured: a relaxed structure of Na3Pr3OsO8 at the PBE level of DFT.

a b c (Å): 7.0055 7.0055 6.9049
angles (deg): 120.49 90.00 120.00
Last column: nearest neighbours and their distance in Å.
Fractional positions:
Na 0.0000 0.0000 0.0000  6 O 2.54-2.55
Na 0.0000 0.5000 0.0000  6 O 2.54-2.55
Na 0.5000 0.5000 0.0000  6 O 2.54-2.55
Pr 0.5000 0.0000 0.5000  6 O 2.37-2.44
Pr 0.5000 0.5000 0.5000  6 O 2.37-2.44
Pr 0.0000 0.5000 0.5000  6 O 2.37-2.44
Os 0.0000 0.0000 0.5000  6 O 2.10
O 0.2593 0.5186 0.2779  3 Pr 2.37, 3 Na 2.55
O 0.7407 0.4814 0.7221  3 Pr 2.37, 3 Na 2.55
O 0.7870 0.5740 0.2984  1 Os 2.10
O 0.2130 0.4260 0.7016  1 Os 2.10
O 0.7870 0.0113 0.2984  1 Os 2.10
O 0.2130 0.9887 0.7016  1 Os 2.10
O 0.2243 0.0113 0.2984  1 Os 2.10
O 0.7757 0.9887 0.7016  1 Os 2.10

Values from the calculation:
DOS at the Fermi energy ... 0.3698 states/eV per atom
Formation energy from raw total energies ... -2.175 eV/atom